(1)
VASP calculation (GGA-PBE) on a relaxed ScCdIn2 crystal.

Computed properties:
E_tot = -3.3297 eV per atom
total moment = 0.0 μB/cell

Cell: 3.3571 4.4147 6.3522 Å, 90.00 90.00 90.00°
Space group Pmmm (No. 47)
Asymmetric unit:
Sc 0.0000 0.0000 0.0000 [1 per cell]
Cd 0.0000 0.0000 0.5000 [1 per cell]
In 0.5000 0.5000 0.2440 [2 per cell]

(2)
VASP calculation (GGA-PBE) on a relaxed Sc2Cd3In crystal.

Computed properties:
E_tot = -3.2904 eV per atom
total moment = 3.9 μB/cell

Cell: 6.5256 9.7530 16.8172 Å, 90.00 90.00 90.00°
Space group Fmmm (No. 69)
Asymmetric unit:
Sc 0.2498 0.0000 0.0000 [8 per cell]
Sc 0.2500 0.2500 0.2500 [8 per cell]
Cd 0.0000 0.0000 0.1655 [8 per cell]
Cd 0.0000 0.2486 0.0828 [16 per cell]
In 0.0000 0.0000 0.3335 [8 per cell]

(3)
VASP calculation (GGA-PBE) on a relaxed ScCd6In crystal.

Computed properties:
E_tot = -1.9164 eV per atom
total moment = 0.0 μB/cell

Cell: 4.7038 7.6847 9.9943 Å, 90.00 90.00 90.00°
Space group Amm2 (No. 38)
Asymmetric unit:
Sc 0.0000 0.0000 0.0000 [2 per cell]
Cd 0.0000 0.0000 0.4246 [2 per cell]
Cd 0.0000 0.2030 0.7116 [4 per cell]
Cd 0.5000 0.0000 0.8042 [2 per cell]
Cd 0.5000 0.2126 0.5068 [4 per cell]
In 0.5000 0.0000 0.2190 [2 per cell]

(4)
VASP calculation (GGA-PBE) on a relaxed ScCdIn crystal.

Computed properties:
E_tot = -3.2512 eV per atom
total moment = 0.0 μB/cell

Cell: 6.8481 6.8481 6.8481 Å, 90.00 90.00 90.00°
Space group F-43m (No. 216)
Asymmetric unit:
Sc 0.0000 0.0000 0.0000 [4 per cell]
Cd 0.2500 0.2500 0.7500 [4 per cell]
In 0.2500 0.2500 0.2500 [4 per cell]